VASP calculation (GGA-PBE) on crystalline Be2S2Cl at its relaxed geometry.

Output
Calculated volume ... 19.69 Å³/atom
Formation energy (no corrections) ... -0.54 eV/atom
Size of the total moment ... 0.89 μB per formula unit

The structure in CIF format:
```
data_Be2S2Cl
_cell_length_a 3.425
_cell_length_b 3.425
_cell_length_c 16.783
_cell_angle_alpha 90.00
_cell_angle_beta 90.00
_cell_angle_gamma 90.00
_space_group_name_H-M_alt 'I 4/m m m'
_space_group_IT_number 139
_space_group_name_Hall '-I 4 2'
loop_
_atom_site_label
_atom_site_type_symbol
_atom_site_fract_x
_atom_site_fract_y
_atom_site_fract_z
_atom_site_occupancy
Be1 Be 0.000 0.500 0.250 1
S1 S 0.000 0.000 0.176 1
Cl1 Cl 0.000 0.000 0.500 1
```

=====

VASP calculation (GGA-PBE) on crystalline HoScGaAu at its relaxed geometry.

Output
Calculated volume ... 21.35 Å³/atom
Size of the total moment ... 0.00 μB per formula unit
Final energy ... -4.992 eV per atom

The structure in CIF format:
```
data_HoScGaAu
_cell_length_a 6.991
_cell_length_b 6.991
_cell_length_c 6.991
_cell_angle_alpha 90.00
_cell_angle_beta 90.00
_cell_angle_gamma 90.00
_space_group_name_H-M_alt 'F -4 3 m'
_space_group_IT_number 216
_space_group_name_Hall 'F -4 2 3'
loop_
_atom_site_label
_atom_site_type_symbol
_atom_site_fract_x
_atom_site_fract_y
_atom_site_fract_z
_atom_site_occupancy
Ho1 Ho 0.000 0.000 0.000 1
Sc1 Sc 0.000 0.000 0.500 1
Ga1 Ga 0.250 0.250 0.250 1
Au1 Au 0.250 0.250 0.750 1
```

=====

VASP calculation (GGA-PBE) on crystalline CsMgMn3 at its relaxed geometry.

Output
Calculated volume ... 30.12 Å³/atom
Size of the total moment ... 12.19 μB per formula unit
Final energy ... -3.821 eV per atom

The structure in CIF format:
```
data_CsMgMn3
_cell_length_a 5.320
_cell_length_b 5.320
_cell_length_c 5.320
_cell_angle_alpha 90.00
_cell_angle_beta 90.00
_cell_angle_gamma 90.00
_space_group_name_H-M_alt 'P m -3 m'
_space_group_IT_number 221
_space_group_name_Hall '-P 4 2 3'
loop_
_atom_site_label
_atom_site_type_symbol
_atom_site_fract_x
_atom_site_fract_y
_atom_site_fract_z
_atom_site_occupancy
Cs1 Cs 0.000 0.000 0.000 1
Mg1 Mg 0.500 0.500 0.500 1
Mn1 Mn 0.000 0.000 0.500 1
```

=====

VASP calculation (GGA-PBE) on crystalline YTiTeN2 at its relaxed geometry.

Output
Calculated volume ... 22.03 Å³/atom
Formation energy (no corrections) ... 0.80 eV/atom
Size of the total moment ... 0.07 μB per formula unit

The structure in CIF format:
```
data_YTiTeN2
_cell_length_a 4.272
_cell_length_b 4.272
_cell_length_c 6.036
_cell_angle_alpha 90.00
_cell_angle_beta 90.00
_cell_angle_gamma 90.00
_space_group_name_H-M_alt 'P 4/m m m'
_space_group_IT_number 123
_space_group_name_Hall '-P 4 2'
loop_
_atom_site_label
_atom_site_type_symbol
_atom_site_fract_x
_atom_site_fract_y
_atom_site_fract_z
_atom_site_occupancy
Y1 Y 0.000 0.000 0.000 1
Ti1 Ti 0.500 0.500 0.500 1
Te1 Te 0.000 0.000 0.500 1
N1 N 0.000 0.500 0.000 1
```

=====

VASP calculation (GGA-PBE) on crystalline Mg2ZrPt9 at its relaxed geometry.

Output
Calculated volume ... 15.89 Å³/atom
Size of the total moment ... 0.00 μB per formula unit
Final energy ... -6.269 eV per atom

The structure in CIF format:
```
data_Mg2ZrPt9
_cell_length_a 3.997
_cell_length_b 3.997
_cell_length_c 11.934
_cell_angle_alpha 90.00
_cell_angle_beta 90.00
_cell_angle_gamma 90.00
_space_group_name_H-M_alt 'P 4/m m m'
_space_group_IT_number 123
_space_group_name_Hall '-P 4 2'
loop_
_atom_site_label
_atom_site_type_symbol
_atom_site_fract_x
_atom_site_fract_y
_atom_site_fract_z
_atom_site_occupancy
Mg1 Mg 0.000 0.000 0.162 1
Zr1 Zr 0.000 0.000 0.500 1
Pt1 Pt 0.000 0.500 0.000 1
Pt2 Pt 0.000 0.500 0.330 1
Pt3 Pt 0.500 0.500 0.165 1
Pt4 Pt 0.500 0.500 0.500 1
```

=====

VASP calculation (GGA-PBE) on crystalline VTc2GeH at its relaxed geometry.

Output
Calculated volume ... 11.77 Å³/atom
Size of the total moment ... 0.23 μB per formula unit
Final energy ... -7.614 eV per atom

The structure in CIF format:
```
data_VTc2GeH
_cell_length_a 4.146
_cell_length_b 4.146
_cell_length_c 3.425
_cell_angle_alpha 90.00
_cell_angle_beta 90.00
_cell_angle_gamma 90.00
_space_group_name_H-M_alt 'P 4/m m m'
_space_group_IT_number 123
_space_group_name_Hall '-P 4 2'
loop_
_atom_site_label
_atom_site_type_symbol
_atom_site_fract_x
_atom_site_fract_y
_atom_site_fract_z
_atom_site_occupancy
V1 V 0.000 0.000 0.000 1
Tc1 Tc 0.000 0.500 0.500 1
Ge1 Ge 0.500 0.500 0.000 1
H1 H 0.000 0.000 0.500 1
```

=====

VASP calculation (GGA-PBE) on crystalline PrGeBi at its relaxed geometry.

Output
Calculated volume ... 32.35 Å³/atom
Size of the total moment ... 0.00 μB per formula unit
Final energy ... -4.579 eV per atom

The structure in CIF format:
```
data_PrGeBi
_cell_length_a 5.984
_cell_length_b 5.984
_cell_length_c 10.843
_cell_angle_alpha 90.00
_cell_angle_beta 90.00
_cell_angle_gamma 90.00
_space_group_name_H-M_alt 'I 41 m d'
_space_group_IT_number 109
_space_group_name_Hall 'I 4bw -2'
loop_
_atom_site_label
_atom_site_type_symbol
_atom_site_fract_x
_atom_site_fract_y
_atom_site_fract_z
_atom_site_occupancy
Pr1 Pr 0.000 0.000 0.000 1
Ge1 Ge 0.000 0.000 0.737 1
Bi1 Bi 0.000 0.000 0.475 1
```

=====

VASP calculation (GGA-PBE) on crystalline BeC at its relaxed geometry.

Output
Calculated volume ... 8.48 Å³/atom
Size of the total moment ... 0.00 μB per formula unit
Final energy ... -6.064 eV per atom

The structure in CIF format:
```
data_BeC
_cell_length_a 7.319
_cell_length_b 7.319
_cell_length_c 2.532
_cell_angle_alpha 90.00
_cell_angle_beta 90.00
_cell_angle_gamma 90.00
_space_group_name_H-M_alt 'I 4/m'
_space_group_IT_number 87
_space_group_name_Hall '-I 4'
loop_
_atom_site_label
_atom_site_type_symbol
_atom_site_fract_x
_atom_site_fract_y
_atom_site_fract_z
_atom_site_occupancy
Be1 Be 0.047 0.742 0.000 1
C1 C 0.190 0.275 0.000 1
```

=====

VASP calculation (GGA-PBE) on crystalline AgMoPb at its relaxed geometry.

Output
Calculated volume ... 20.98 Å³/atom
Size of the total moment ... 0.00 μB per formula unit
Final energy ... -5.126 eV per atom

The structure in CIF format:
```
data_AgMoPb
_cell_length_a 2.958
_cell_length_b 2.958
_cell_length_c 14.388
_cell_angle_alpha 90.00
_cell_angle_beta 90.00
_cell_angle_gamma 90.00
_space_group_name_H-M_alt 'I 4 m m'
_space_group_IT_number 107
_space_group_name_Hall 'I 4 -2'
loop_
_atom_site_label
_atom_site_type_symbol
_atom_site_fract_x
_atom_site_fract_y
_atom_site_fract_z
_atom_site_occupancy
Ag1 Ag 0.000 0.000 0.000 1
Mo1 Mo 0.000 0.000 0.638 1
Pb1 Pb 0.000 0.000 0.301 1
```

=====

VASP calculation (GGA-PBE) on crystalline Tb3Pr4NdS8 at its relaxed geometry.

Output
Calculated volume ... 23.26 Å³/atom
Formation energy (no corrections) ... -2.01 eV/atom
Size of the total moment ... 0.00 μB per formula unit

The structure in CIF format:
```
data_Tb3Pr4NdS8
_cell_length_a 8.0348
_cell_length_b 8.0348
_cell_length_c 19.9694
_cell_angle_alpha 90.00
_cell_angle_beta 90.00
_cell_angle_gamma 120.00
_space_group_name_H-M_alt 'R -3 m'
_space_group_IT_number 166
_space_group_name_Hall '-R 3 2"'
loop_
_atom_site_label
_atom_site_type_symbol
_atom_site_fract_x
_atom_site_fract_y
_atom_site_fract_z
_atom_site_occupancy
Tb1 Tb 0.0000 0.5000 0.0000 1
Pr1 Pr 0.0000 0.0000 0.5000 1
Pr2 Pr 0.0000 0.5000 0.5000 1
Nd1 Nd 0.0000 0.0000 0.0000 1
S1 S 0.0000 0.0000 0.2559 1
S2 S 0.0065 0.5032 0.2544 1
```

=====

VASP calculation (GGA-PBE) on crystalline La6FeNi2Cl3 at its relaxed geometry.

Output
Calculated volume ... 27.38 Å³/atom
Formation energy (no corrections) ... -0.93 eV/atom
Size of the total moment ... 0.00 μB per formula unit

The structure in CIF format:
```
data_La6FeNi2Cl3
_cell_length_a 7.047
_cell_length_b 12.235
_cell_length_c 7.972
_cell_angle_alpha 90.00
_cell_angle_beta 107.03
_cell_angle_gamma 90.00
_space_group_name_H-M_alt 'C 1 2/m 1'
_space_group_IT_number 12
loop_
_space_group_symop_operation_xyz
'x,y,z'
'-x,-y,-z'
'-x,y,-z'
'x,-y,z'
'x+1/2,y+1/2,z'
'-x+1/2,-y+1/2,-z'
'-x+1/2,y+1/2,-z'
'x+1/2,-y+1/2,z'
loop_
_atom_site_label
_atom_site_type_symbol
_atom_site_fract_x
_atom_site_fract_y
_atom_site_fract_z
_atom_site_occupancy
La1 La 0.228 0.161 0.203 1
La2 La 0.246 0.500 0.202 1
Fe1 Fe 0.000 0.000 0.000 1
Ni1 Ni 0.000 0.333 0.000 1
Cl1 Cl 0.000 0.163 0.500 1
Cl2 Cl 0.000 0.500 0.500 1
```

=====

VASP calculation (GGA-PBE) on crystalline Rb3La2PaO6 at its relaxed geometry.

Output
Calculated volume ... 20.27 Å³/atom
Formation energy (no corrections) ... -2.54 eV/atom
Size of the total moment ... 1.88 μB per formula unit

The structure in CIF format:
```
data_Rb3La2PaO6
_cell_length_a 6.467
_cell_length_b 11.199
_cell_length_c 7.059
_cell_angle_alpha 90.00
_cell_angle_beta 107.93
_cell_angle_gamma 90.00
_space_group_name_H-M_alt 'C 1 2/m 1'
_space_group_IT_number 12
loop_
_space_group_symop_operation_xyz
'x,y,z'
'-x,-y,-z'
'-x,y,-z'
'x,-y,z'
'x+1/2,y+1/2,z'
'-x+1/2,-y+1/2,-z'
'-x+1/2,y+1/2,-z'
'x+1/2,-y+1/2,z'
loop_
_atom_site_label
_atom_site_type_symbol
_atom_site_fract_x
_atom_site_fract_y
_atom_site_fract_z
_atom_site_occupancy
Rb1 Rb 0.000 0.000 0.000 1
Rb2 Rb 0.000 0.334 0.000 1
La1 La 0.000 0.167 0.500 1
Pa1 Pa 0.000 0.500 0.500 1
O1 O 0.209 0.346 0.666 1
O2 O 0.249 0.000 0.666 1
```